(1)
## NbCuAs2Se (PBE)

Data for a relaxed NbCuAs2Se crystal.

Output
- E (eV per atom) = -4.640
- size of the total moment (μB per formula unit) = 0.00
- D(E_F) (states/eV per atom) = 1.040
- formation energy (no corrections) (meV per atom) = 750
- offset from the most stable computed form (meV/atom) = 250
- space-group type = P4/mmm, No. 123

Lattice parameters (Å, degrees): 4.6031 4.6031 4.7141 90.00 90.00 90.00
Closest atoms and distances in Å follow each position.
Positions (direct):
Nb1 0.5000 0.5000 0.5000  4 Se 3.25, 8 As 3.29
Cu1 0.0000 0.0000 0.0000  4 As 2.30, 2 Se 2.36
As1 0.0000 0.5000 0.0000  2 Cu 2.30
As2 0.5000 0.0000 0.0000  2 Cu 2.30
Se1 0.0000 0.0000 0.5000  2 Cu 2.36

---

(2)
## Tb15PrEr4 (PBE)

Data for a relaxed Tb15PrEr4 crystal.

Output
- E (eV per atom) = -4.606
- size of the total moment (μB per formula unit) = 0.00
- D(E_F) (states/eV per atom) = 1.390
- ΔE_f (eV per atom) = 0.018
- space-group type = Cmmm, No. 65

Lattice parameters (Å, degrees): 6.1536 6.1536 17.7738 90.00 90.00 70.78
Closest atoms and distances in Å follow each position.
Positions (direct):
Tb1 0.5000 0.5000 0.0000  2 Pr 3.56, 10 Tb 3.57-3.58
Tb2 0.5000 0.5000 0.2014  10 Tb 3.54-3.58, 2 Er 3.56
Tb3 0.5000 0.5000 0.4005  10 Tb 3.54-3.55, 2 Er 3.56
Tb4 0.5000 0.5000 0.5995  10 Tb 3.54-3.55, 2 Er 3.56
Tb5 0.5000 0.5000 0.7986  10 Tb 3.54-3.58, 2 Er 3.56
Tb6 0.5000 0.0000 0.1017  8 Tb 3.54-3.62, 2 Er 3.55, 2 Pr 3.57
Tb7 0.5000 0.0000 0.3011  8 Tb 3.54-3.56, 4 Er 3.55
Tb8 0.5000 0.0000 0.5000  8 Tb 3.54-3.56, 4 Er 3.55
Tb9 0.5000 0.0000 0.6989  8 Tb 3.54-3.56, 4 Er 3.55
Tb10 0.5000 0.0000 0.8983  8 Tb 3.54-3.62, 2 Er 3.55, 2 Pr 3.57
Tb11 0.0000 0.5000 0.1017  8 Tb 3.54-3.62, 2 Er 3.55, 2 Pr 3.57
Tb12 0.0000 0.5000 0.3011  8 Tb 3.54-3.56, 4 Er 3.55
Tb13 0.0000 0.5000 0.5000  8 Tb 3.54-3.56, 4 Er 3.55
Tb14 0.0000 0.5000 0.6989  8 Tb 3.54-3.56, 4 Er 3.55
Tb15 0.0000 0.5000 0.8983  8 Tb 3.54-3.62, 2 Er 3.55, 2 Pr 3.57
Pr1 0.0000 0.0000 0.0000  10 Tb 3.56-3.57, 2 Er 3.58
Er1 0.0000 0.0000 0.2015  1 Er 3.54, 10 Tb 3.55-3.56, 1 Pr 3.58
Er2 0.0000 0.0000 0.4004  2 Er 3.54, 10 Tb 3.55-3.56
Er3 0.0000 0.0000 0.5996  2 Er 3.54, 10 Tb 3.55-3.56
Er4 0.0000 0.0000 0.7985  1 Er 3.54, 10 Tb 3.55-3.56, 1 Pr 3.58

---

(3)
## NaAg5Te6 (PBE)

Data for a relaxed NaAg5Te6 crystal.

Output
- E (eV per atom) = -2.968
- size of the total moment (μB per formula unit) = 0.00
- D(E_F) (states/eV per atom) = 0.308
- formation energy (no corrections) (meV per atom) = -100
- space-group type = C2/m, No. 12

Lattice parameters (Å, degrees): 7.2196 8.5253 7.6743 56.26 75.48 63.17
Closest atoms and distances in Å follow each position.
Positions (direct):
Na1 0.0000 0.0000 0.0000  6 Te 3.14-3.31
Ag1 0.5000 0.1726 0.6549  4 Te 2.73
Ag2 0.0000 0.3074 0.3851  2 Te 2.72
Ag3 0.5000 0.5000 0.0000  4 Te 2.80
Ag4 0.0000 0.6926 0.6149  2 Te 2.72
Ag5 0.5000 0.8274 0.3451  4 Te 2.73
Te1 0.7657 0.1597 0.3349  3 Ag 2.72-2.80
Te2 0.2343 0.5054 0.3349  3 Ag 2.72-2.80
Te3 0.2920 0.1833 0.0000  2 Ag 2.73
Te4 0.7080 0.8167 0.0000  2 Ag 2.73
Te5 0.7657 0.4946 0.6651  3 Ag 2.72-2.80
Te6 0.2343 0.8403 0.6651  3 Ag 2.72-2.80

---

(4)
## Ni7Sn2As2Pt (PBE)

Data for a relaxed Ni7Sn2As2Pt crystal.

Output
- E (eV per atom) = -5.454
- size of the total moment (μB per formula unit) = 0.00
- D(E_F) (states/eV per atom) = 0.897
- ΔE_f (eV per atom) = -0.137
- space-group type = C2/m, No. 12

Lattice parameters (Å, degrees): 3.6057 3.6057 14.8926 82.94 82.94 90.00
Closest atoms and distances in Å follow each position.
Positions (direct):
Ni1 0.5000 0.5000 0.0000  4 Pt 2.55, 8 Ni 2.61
Ni2 0.3078 0.3078 0.3859  1 As 2.29
Ni3 0.6922 0.6922 0.6141  1 As 2.29
Ni4 0.9348 0.4344 0.1288  2 As 2.33, 4 Ni 2.55
Ni5 0.4344 0.9348 0.1288  2 As 2.33, 4 Ni 2.55
Ni6 0.5656 0.0652 0.8712  2 As 2.33, 4 Ni 2.55
Ni7 0.0652 0.5656 0.8712  2 As 2.33, 4 Ni 2.55
Sn1 0.7871 0.7871 0.4261  5 Ni 2.62-2.76
Sn2 0.2129 0.2129 0.5739  5 Ni 2.62-2.76
As1 0.6160 0.6160 0.7703  5 Ni 2.29-2.33
As2 0.3840 0.3840 0.2297  5 Ni 2.29-2.33
Pt1 0.0000 0.0000 0.0000  12 Ni 2.55-2.61

---

Which of these has the lowest E?
Ni7Sn2As2Pt